Entry 1:
First-principles (GGA-PBE) data for crystalline Ca2TcSbW at its relaxed geometry, as listed in the Alexandria database.

Calculated values
Uncorrected formation energy = 1518 meV per atom

Cell: 5.679 5.679 5.042 Å, 90.00 90.00 90.00°
Atoms (fractional coordinates):
Ca: 0.000 0.500 0.000
Ca: 0.500 0.000 0.000
Tc: 0.000 0.000 0.500
Sb: 0.500 0.500 0.000
W: 0.500 0.500 0.500

=====

Entry 2:
First-principles (GGA-PBE) data for crystalline K3LiAg2F6 at its relaxed geometry, as listed in the Alexandria database.

Calculated values
Uncorrected formation energy = -2018 meV per atom

Cell: 6.141 6.141 6.603 Å, 90.00 90.00 120.00°
Atoms (fractional coordinates):
K: 0.000 0.000 0.000
K: 0.333 0.667 0.601
K: 0.667 0.333 0.399
Li: 0.000 0.000 0.500
Ag: 0.333 0.667 0.111
Ag: 0.667 0.333 0.889
F: 0.158 0.317 0.303
F: 0.158 0.842 0.303
F: 0.317 0.158 0.697
F: 0.683 0.842 0.303
F: 0.842 0.158 0.697
F: 0.842 0.683 0.697

=====

Entry 3:
First-principles (GGA-PBE) data for crystalline Tm4CoPd at its relaxed geometry, as listed in the Alexandria database.

Calculated values
Energy relative to the elements = -0.42 eV per atom

Cell: 7.781 7.781 6.006 Å, 107.09 107.09 111.93°
Atoms (fractional coordinates):
Tm: 0.054 0.702 0.906
Tm: 0.227 0.353 0.713
Tm: 0.298 0.946 0.594
Tm: 0.353 0.227 0.213
Tm: 0.647 0.773 0.787
Tm: 0.702 0.054 0.406
Tm: 0.773 0.647 0.287
Tm: 0.946 0.298 0.094
Co: 0.001 0.999 0.250
Co: 0.999 0.001 0.750
Pd: 0.364 0.636 0.250
Pd: 0.636 0.364 0.750

=====

Entry 4:
First-principles (GGA-PBE) data for crystalline KCo3 at its relaxed geometry, as listed in the Alexandria database.

Calculated values
Energy relative to the elements = 0.70 eV per atom

Cell: 8.037 8.037 2.581 Å, 90.00 90.00 124.82°
Atoms (fractional coordinates):
K: 0.108 0.892 0.750
K: 0.892 0.108 0.250
Co: 0.150 0.546 0.250
Co: 0.426 0.574 0.750
Co: 0.454 0.850 0.250
Co: 0.546 0.150 0.750
Co: 0.574 0.426 0.250
Co: 0.850 0.454 0.750